Entry 1:
# CaTcOs2 (PBE, relaxed)
data_CaTcOs2
_cell_length_a 2.834
_cell_length_b 3.668
_cell_length_c 6.816
_cell_angle_alpha 90.00
_cell_angle_beta 90.00
_cell_angle_gamma 90.00
_space_group_name_H-M_alt 'P m m m'
_space_group_IT_number 47
loop_
_space_group_symop_operation_xyz
'x,y,z'
'-x,-y,-z'
'-x,-y,z'
'x,y,-z'
'x,-y,-z'
'-x,y,z'
'-x,y,-z'
'x,-y,z'
loop_
_atom_site_label
_atom_site_type_symbol
_atom_site_fract_x
_atom_site_fract_y
_atom_site_fract_z
Ca1 Ca 0.000 0.000 0.000
Tc1 Tc 0.000 0.000 0.500
Os1 Os 0.500 0.500 0.307
# Energy relative to the lowest polymorph listed for this composition, meV/atom: 84
# DFT formation energy, meV/atom: 473
# Theoretical density, g cm⁻³: 12.153
# N(E_F), states/eV per cell: 4.6

***

Entry 2:
# CaTcOs2 (PBE, relaxed)
data_CaTcOs2
_cell_length_a 2.842
_cell_length_b 2.842
_cell_length_c 8.342
_cell_angle_alpha 90.00
_cell_angle_beta 90.00
_cell_angle_gamma 90.00
_space_group_name_H-M_alt 'P 4/m m m'
_space_group_IT_number 123
_space_group_name_Hall '-P 4 2'
loop_
_atom_site_label
_atom_site_type_symbol
_atom_site_fract_x
_atom_site_fract_y
_atom_site_fract_z
Ca1 Ca 0.000 0.000 0.000
Tc1 Tc 0.000 0.000 0.500
Os1 Os 0.500 0.500 0.288
# Energy relative to the lowest polymorph listed for this composition, meV/atom: 0
# DFT formation energy, meV/atom: 389
# Theoretical density, g cm⁻³: 12.781
# N(E_F), states/eV per cell: 6.1

***

Entry 3:
# CaTc2Os2 (PBE, relaxed)
data_CaTc2Os2
_cell_length_a 7.794
_cell_length_b 7.794
_cell_length_c 2.763
_cell_angle_alpha 90.00
_cell_angle_beta 90.00
_cell_angle_gamma 90.00
_space_group_name_H-M_alt 'P 4/m b m'
_space_group_IT_number 127
_space_group_name_Hall '-P 4 2ab'
loop_
_atom_site_label
_atom_site_type_symbol
_atom_site_fract_x
_atom_site_fract_y
_atom_site_fract_z
Ca1 Ca 0.000 0.000 0.000
Tc1 Tc 0.168 0.332 0.500
Os1 Os 0.121 0.621 0.000
# Energy relative to the lowest polymorph listed for this composition, meV/atom: 51
# DFT formation energy, meV/atom: 190
# Theoretical density, g cm⁻³: 12.200
# N(E_F), states/eV per cell: 12.1